The following is a DFT calculation (PBE) of crystalline TaHgBi2N at its relaxed geometry.

a b c (Å): 4.9481 4.5063 4.9481
angles (deg): 90.00 90.00 90.00
Last column: magnetic moment on the atom in μB.
Sites, in units of the cell vectors:
N  0.0000  0.0000  0.0000  0.01
Ta  0.5000  0.5000  0.5000  0.85
Bi  0.0000  0.0000  0.5000  -0.05
Bi  0.5000  0.0000  0.0000  -0.06
Hg  0.0000  0.5000  0.0000  0.00

Properties
The formation energy from raw total energies comes out at 1.105 eV per atom. The symmetry is P4/mmm.